Record 1
A relaxed Pu2ThAu4 crystal, computed with PBE-GGA.

Computed properties:
M_tot: 11.71 μB/f.u.
space group: I4/mmm
volume: 25.65 A^3/atom
energy of formation from the pure elements: -2.52 eV per formula unit

Cell: 6.232 6.232 6.232 Å, 121.95 103.62 103.62°
Each line ends with the local moment (μB).
Element x y z (fractional)
Pu 0.500 0.500 0.000  5.55
Pu 0.500 0.000 0.500  5.55
Au 0.500 0.000 0.000  0.03
Au 0.000 0.500 0.000  0.03
Au 0.500 0.500 0.500  0.03
Au 0.000 0.000 0.500  0.03
Th 0.000 0.000 0.000  -0.03

=====

Record 2
A relaxed Hf3CuC crystal, computed with PBE-GGA.

Computed properties:
M_tot: 0.00 μB/f.u.
space group: Cmcm
volume: 16.57 A^3/atom
excess energy over the best structure of this formula in the dataset: 0.00 eV per formula unit
energy of formation from the pure elements: -2.50 eV per formula unit

Cell: 3.324 5.871 8.852 Å, 90.00 90.00 106.45°
Element x y z (fractional)
C 0.000 0.000 0.000
C 0.000 0.000 0.500
Cu 0.250 0.500 0.250
Cu 0.750 0.500 0.750
Hf 0.629 0.259 0.058
Hf 0.059 0.118 0.750
Hf 0.941 0.882 0.250
Hf 0.371 0.741 0.942
Hf 0.629 0.259 0.442
Hf 0.371 0.741 0.558

=====

Record 3
A relaxed SnGeCl2 crystal, computed with PBE-GGA.

Computed properties:
M_tot: 0.00 μB/f.u.
space group: Fm-3m
volume: 23.43 A^3/atom
excess energy over the best structure of this formula in the dataset: 0.93 eV per formula unit
energy relative to the elements, uncorrected: -0.06 eV/atom

Cell: 5.098 5.098 5.098 Å, 60.00 60.00 60.00°
Element x y z (fractional)
Cl 0.250 0.250 0.250
Cl 0.750 0.750 0.750
Ge 0.000 0.000 0.000
Sn 0.500 0.500 0.500

=====

Record 4
A relaxed Rb2InAs crystal, computed with PBE-GGA.

Computed properties:
M_tot: 0.00 μB/f.u.
space group: Fm-3m
volume: 36.79 A^3/atom
excess energy over the best structure of this formula in the dataset: 1.26 eV per formula unit
energy of formation from the pure elements: 0.02 eV per formula unit

Cell: 5.926 5.926 5.926 Å, 60.00 60.00 60.00°
Element x y z (fractional)
Rb 0.250 0.250 0.250
Rb 0.750 0.750 0.750
As 0.000 0.000 0.000
In 0.500 0.500 0.500

=====

Record 5
A relaxed BaNiSb crystal, computed with PBE-GGA.

Computed properties:
M_tot: 0.01 μB/f.u.
space group: Imm2
volume: 32.21 A^3/atom
energy relative to the elements, uncorrected: 0.03 eV/atom

Cell: 5.719 5.719 5.719 Å, 137.95 128.26 68.79°
Element x y z (fractional)
Ba 0.986 0.986 0.000
Sb 0.635 0.635 0.000
Ni 0.379 0.379 0.000

=====

Record 6
A relaxed Ca5Sn2P6 crystal, computed with PBE-GGA.

Computed properties:
M_tot: 0.00 μB/f.u.
space group: Pbam
volume: 24.10 A^3/atom
energy of formation from the pure elements: -10.92 eV per formula unit

Cell: 4.042 11.204 13.833 Å, 90.00 90.00 90.00°
Element x y z (fractional)
P 0.000 0.849 0.601
P 0.500 0.683 0.840
P 0.500 0.817 0.340
P 0.000 0.994 0.109
P 0.000 0.506 0.609
P 0.000 0.494 0.391
P 0.000 0.349 0.899
P 0.500 0.183 0.660
P 0.000 0.006 0.891
P 0.000 0.651 0.101
P 0.000 0.151 0.399
P 0.500 0.317 0.160
Ca 0.500 0.161 0.988
Ca 0.500 0.070 0.250
Ca 0.500 0.570 0.250
Ca 0.500 0.661 0.512
Ca 0.500 0.930 0.750
Ca 0.500 0.339 0.488
Ca 0.500 0.430 0.750
Ca 0.500 0.500 0.000
Ca 0.500 0.839 0.012
Ca 0.500 0.000 0.500
Sn 0.000 0.821 0.225
Sn 0.000 0.321 0.275
Sn 0.000 0.179 0.775
Sn 0.000 0.679 0.725

=====

Record 7
A relaxed BeNbTl2F crystal, computed with PBE-GGA.

Computed properties:
M_tot: 0.00 μB/f.u.
space group: P4/mmm
volume: 20.31 A^3/atom
energy relative to the elements, uncorrected: 0.34 eV/atom

Cell: 4.734 4.532 4.734 Å, 90.00 90.00 90.00°
Element x y z (fractional)
Nb 0.000 0.500 0.000
Tl 0.000 0.000 0.500
Tl 0.500 0.000 0.000
Be 0.000 0.000 0.000
F 0.500 0.500 0.500

=====

Record 8
A relaxed PrTm2In crystal, computed with PBE-GGA.

Computed properties:
M_tot: 1.64 μB/f.u.
space group: Fm-3m
volume: 28.78 A^3/atom
excess energy over the best structure of this formula in the dataset: 0.74 eV per formula unit
energy of formation from the pure elements: -0.27 eV per formula unit

Cell: 5.461 5.461 5.461 Å, 60.00 60.00 60.00°
Each line ends with the local moment (μB).
Element x y z (fractional)
In 0.500 0.500 0.500  0.01
Pr 0.000 0.000 0.000  0.43
Tm 0.250 0.250 0.250  0.37
Tm 0.750 0.750 0.750  0.37